Entry 1:
An optimized crystal structure of NaPrAuSe2, computed with GGA-PBE.

Cell: 6.979 5.068 8.084 Å, 90.00 96.35 90.00°
Atoms (fractional coordinates):
Na 0.000 0.087 0.250
Na 0.000 0.913 0.750
Pr 0.500 0.492 0.750
Pr 0.500 0.508 0.250
Au 0.500 0.000 0.000
Au 0.500 0.000 0.500
Se 0.214 0.319 0.977
Se 0.214 0.681 0.477
Se 0.786 0.319 0.523
Se 0.786 0.681 0.023

- spin magnetization (μB per cell) = 0.0



Entry 2:
An optimized crystal structure of NaPrSnAu, computed with GGA-PBE.

Cell: 5.268 5.268 5.268 Å, 60.00 60.00 60.00°
Atoms (fractional coordinates):
Na 0.000 0.000 0.000
Pr 0.500 0.500 0.500
Sn 0.250 0.250 0.250
Au 0.750 0.750 0.750

- spin magnetization (μB per cell) = 0.0
- E_form (eV per formula unit) = -2.02



Entry 3:
An optimized crystal structure of NaPrSn2Au2, computed with GGA-PBE.

Cell: 4.870 4.870 7.051 Å, 90.00 90.00 120.00°
Atoms (fractional coordinates):
Na 0.000 0.000 0.000
Pr 0.000 0.000 0.500
Sn 0.333 0.667 0.754
Sn 0.667 0.333 0.246
Au 0.333 0.667 0.262
Au 0.667 0.333 0.738

- spin magnetization (μB per cell) = 0.0
- E_form (eV per formula unit) = -3.33



Entry 4:
An optimized crystal structure of NaPrTeAu, computed with GGA-PBE.

Cell: 5.326 5.326 5.326 Å, 60.00 60.00 60.00°
Atoms (fractional coordinates):
Na 0.000 0.000 0.000
Pr 0.500 0.500 0.500
Te 0.750 0.750 0.750
Au 0.250 0.250 0.250

- spin magnetization (μB per cell) = 0.0



Final energy list, top to bottom, in eV for the cell shown: -42.80, -15.40, -23.99, -15.60